This record from the Alexandria database describes a relaxed structure of HfScCu4. The functional is PBE.

a = 5.0366 Å, b = 5.0366 Å, c = 5.0366 Å
α = 60.00°, β = 60.00°, γ = 60.00°
Fractional positions:
Sc  0.0000  0.0000  0.0000
Hf  0.2500  0.2500  0.2500
Cu  0.6249  0.6249  0.1254
Cu  0.6249  0.1254  0.6249
Cu  0.6249  0.6249  0.6249
Cu  0.1254  0.6249  0.6249

Values from the calculation:
The calculation puts the formation energy at -128 meV/atom. The energy above the most stable polymorph in this dataset comes out at 0.0 meV/atom. As for the crystal system: cubic.



This record from the Alexandria database describes a relaxed structure of ScSiHg2Rh. The functional is PBE.

a = 5.1804 Å, b = 4.7186 Å, c = 5.1804 Å
α = 90.00°, β = 90.00°, γ = 90.00°
Fractional positions:
Sc  0.0000  0.5000  0.0000
Si  0.5000  0.5000  0.5000
Rh  0.0000  0.0000  0.0000
Hg  0.0000  0.0000  0.5000
Hg  0.5000  0.0000  0.0000

Values from the calculation:
As for the crystal system: tetragonal.



This record from the Alexandria database describes a relaxed structure of MgCuAu. The functional is PBE.

a = 2.9698 Å, b = 2.9698 Å, c = 6.5432 Å
α = 90.00°, β = 90.00°, γ = 120.00°
Fractional positions:
Au  0.0000  0.0000  0.0060
Cu  0.3333  0.6667  0.3366
Mg  0.6667  0.3333  0.6574

Values from the calculation:
The calculation puts the formation energy at -81 meV/atom. The energy above the most stable polymorph in this dataset comes out at 212.9 meV/atom. As for the crystal system: trigonal.



This record from the Alexandria database describes a relaxed structure of Ce4Sb3. The functional is PBE.

a = 8.1928 Å, b = 8.1928 Å, c = 8.1928 Å
α = 109.47°, β = 109.47°, γ = 109.47°
Fractional positions:
Ce  0.5000  0.0000  0.8522
Ce  0.8522  0.5000  0.0000
Ce  0.1478  0.1478  0.1478
Ce  0.0000  0.8522  0.5000
Ce  0.5000  0.0000  0.3522
Ce  0.0000  0.3522  0.5000
Ce  0.3522  0.5000  0.0000
Ce  0.6478  0.6478  0.6478
Sb  0.7500  0.8750  0.1250
Sb  0.3750  0.2500  0.6250
Sb  0.2500  0.6250  0.3750
Sb  0.8750  0.1250  0.7500
Sb  0.6250  0.3750  0.2500
Sb  0.1250  0.7500  0.8750

Values from the calculation:
The energy above the most stable polymorph in this dataset comes out at 0.0 meV/atom. As for the crystal system: cubic.



This record from the Alexandria database describes a relaxed structure of Ba2TlSe. The functional is PBE.

a = 5.9140 Å, b = 5.9140 Å, c = 5.9140 Å
α = 60.00°, β = 60.00°, γ = 60.00°
Fractional positions:
Tl  0.5000  0.5000  0.5000
Ba  0.2500  0.2500  0.2500
Ba  0.7500  0.7500  0.7500
Se  0.0000  0.0000  0.0000

Values from the calculation:
The energy above the most stable polymorph in this dataset comes out at 296.2 meV/atom. As for the crystal system: cubic.



This record from the Alexandria database describes a relaxed structure of InSiRuO. The functional is PBE.

a = 2.8342 Å, b = 3.0979 Å, c = 13.2315 Å
α = 90.00°, β = 102.31°, γ = 90.00°
Fractional positions:
In  0.0387  0.0000  0.1232
In  0.0387  0.5000  0.6232
Si  0.7875  0.0000  0.8720
Si  0.7875  0.5000  0.3720
Ru  0.3924  0.0000  0.4763
Ru  0.3924  0.5000  0.9763
O  0.1916  0.0000  0.7775
O  0.1916  0.5000  0.2775

Values from the calculation:
The energy above the most stable polymorph in this dataset comes out at 206.9 meV/atom. As for the crystal system: orthorhombic.



Table of E (eV per cell), in record order: -33.44 -17.90 -9.21 -85.03 -12.81 -51.04